The following is a PBE calculation of an optimized crystal structure of YCrMo2, from the Alexandria database.

As for the energy above the most stable polymorph in this dataset: 760 meV/atom. As for the formation energy: 4.30 eV/f.u.

Cell: 9.037 9.037 9.037 Å, 149.70 149.70 43.38°
Fractional positions:
Y 0.000 0.000 0.000
Y 0.750 0.250 0.500
Cr 0.250 0.750 0.500
Cr 0.500 0.500 0.000
Mo 0.345 0.625 0.220
Mo 0.375 0.595 0.720
Mo 0.405 0.125 0.780
Mo 0.875 0.655 0.280